TbY4Th5 | PBE-GGA | optimized geometry

Values from the calculation:
Energy of formation from the pure elements, meV per atom: 137
Magnetic moment, μB/atom: 0.0000

Cell lengths 3.449, 11.229, 9.004 Å; angles 72.98, 101.04, 90.00 degrees
Positions (direct):
Y: 0.697 0.910 0.394
Y: 0.303 0.090 0.606
Y: 0.907 0.807 0.814
Y: 0.093 0.193 0.186
Th: 0.198 0.407 0.395
Th: 0.500 0.500 0.000
Th: 0.891 0.296 0.781
Th: 0.802 0.593 0.605
Th: 0.109 0.704 0.219
Tb: 0.500 0.000 0.000


RbLi2HgI6 | PBE-GGA | optimized geometry

Values from the calculation:
E_tot, eV/atom: -2.2453
Magnetic moment, μB/atom: 0.1038

Cell lengths 9.304, 11.183, 11.183 Å; angles 93.38, 70.78, 70.78 degrees
Positions (direct):
Hg: 0.750 0.822 0.178
Hg: 0.250 0.178 0.822
Li: 0.573 0.249 0.418
Li: 0.427 0.751 0.582
Li: 0.073 0.418 0.249
Li: 0.927 0.582 0.751
I: 0.200 0.933 0.801
I: 0.198 0.629 0.606
I: 0.942 0.364 0.859
I: 0.302 0.394 0.371
I: 0.442 0.859 0.364
I: 0.558 0.141 0.636
I: 0.300 0.199 0.067
I: 0.698 0.606 0.629
I: 0.802 0.371 0.394
I: 0.058 0.636 0.141
I: 0.800 0.067 0.199
I: 0.700 0.801 0.933
Rb: 0.750 0.117 0.883
Rb: 0.250 0.883 0.117


PuCuAg | PBE-GGA | optimized geometry

Values from the calculation:
Energy of formation from the pure elements, meV per atom: 74
Energy above the most stable polymorph in this dataset, eV per atom: 0.033
Magnetic moment, μB/atom: 1.9808

Cell lengths 2.904, 5.165, 8.128 Å; angles 108.53, 90.00, 90.00 degrees
Positions (direct):
Ag: 0.500 0.134 0.000
Ag: 0.000 0.634 0.000
Pu: 0.500 0.645 0.363
Pu: 0.500 0.282 0.637
Cu: 0.000 0.821 0.714
Cu: 0.000 0.106 0.286


Cs6RbTl8 | PBE-GGA | optimized geometry

Values from the calculation:
Energy of formation from the pure elements, meV per atom: -32
Magnetic moment, μB/atom: 0.0000

Cell lengths 9.809, 9.809, 9.809 Å; angles 66.13, 66.13, 66.13 degrees
Positions (direct):
Cs: 0.596 0.851 0.358
Cs: 0.149 0.642 0.404
Cs: 0.642 0.404 0.149
Cs: 0.358 0.596 0.851
Cs: 0.404 0.149 0.642
Cs: 0.851 0.358 0.596
Tl: 0.190 0.190 0.190
Tl: 0.142 0.954 0.560
Tl: 0.810 0.810 0.810
Tl: 0.858 0.046 0.440
Tl: 0.954 0.560 0.142
Tl: 0.440 0.858 0.046
Tl: 0.046 0.440 0.858
Tl: 0.560 0.142 0.954
Rb: 0.000 0.000 0.000


LaTm2Pu | PBE-GGA | optimized geometry

Values from the calculation:
Energy of formation from the pure elements, meV per atom: 115
Energy above the most stable polymorph in this dataset, eV per atom: 0.010
Magnetic moment, μB/atom: 1.5225

Cell lengths 3.520, 3.520, 11.702 Å; angles 81.35, 81.35, 60.00 degrees
Positions (direct):
La: 0.501 0.501 0.498
Tm: 0.254 0.254 0.239
Tm: 0.080 0.080 0.761
Pu: 0.666 0.666 0.002


HgHN3 | PBE-GGA | optimized geometry

Values from the calculation:
E_tot, eV/atom: -2.9726
Magnetic moment, μB/atom: 0.0000

Cell lengths 3.561, 3.561, 3.561 Å; angles 90.00, 90.00, 90.00 degrees
Positions (direct):
N: 0.000 0.000 0.500
N: 0.500 0.000 0.000
N: 0.000 0.500 0.000
Hg: 0.500 0.500 0.500
H: 0.000 0.000 0.000


Cr2MoRh | PBE-GGA | optimized geometry

Values from the calculation:
Energy of formation from the pure elements, meV per atom: 133
Magnetic moment, μB/atom: 0.2838

Cell lengths 4.742, 4.742, 4.742 Å; angles 133.51, 133.51, 67.85 degrees
Positions (direct):
Cr: 0.250 0.750 0.500
Cr: 0.000 0.000 0.000
Rh: 0.750 0.250 0.500
Mo: 0.500 0.500 0.000


Th8Tc3Hg3H | PBE-GGA | optimized geometry

Values from the calculation:
E_tot, eV/atom: -6.3758
Magnetic moment, μB/atom: 0.0000

Cell lengths 9.645, 7.746, 7.273 Å; angles 100.29, 90.01, 128.42 degrees
Positions (direct):
Hg: 0.000 0.000 0.000
Hg: 0.000 0.500 0.000
Hg: 0.500 0.500 0.000
Th: 0.763 0.088 0.272
Th: 0.675 0.912 0.729
Th: 0.717 0.434 0.712
Th: 0.283 0.566 0.288
Th: 0.168 0.336 0.682
Th: 0.237 0.912 0.728
Th: 0.325 0.088 0.271
Th: 0.832 0.664 0.318
Tc: 0.500 0.500 0.500
Tc: 0.500 0.000 0.500
Tc: 0.000 0.500 0.500
H: 0.000 0.000 0.500


ZrAlAs2 | PBE-GGA | optimized geometry

Values from the calculation:
Energy of formation from the pure elements, meV per atom: -598
Magnetic moment, μB/atom: 0.0000

Cell lengths 3.769, 3.769, 5.690 Å; angles 90.00, 90.00, 90.00 degrees
Positions (direct):
Zr: 0.000 0.000 0.638
Al: 0.500 0.500 0.243
As: 0.500 0.500 0.697
As: 0.000 0.000 0.149


CsCeInI6 | PBE-GGA | optimized geometry

Values from the calculation:
E_tot, eV/atom: -3.1772
Magnetic moment, μB/atom: 0.0000

Cell lengths 8.179, 8.179, 15.047 Å; angles 90.00, 90.00, 90.00 degrees
Positions (direct):
I: 0.762 0.238 0.849
I: 0.672 0.672 0.679
I: 0.328 0.328 0.679
I: 0.238 0.762 0.849
I: 0.200 0.800 0.467
I: 0.738 0.738 0.349
I: 0.300 0.300 0.967
I: 0.828 0.172 0.179
I: 0.172 0.828 0.179
I: 0.800 0.200 0.467
I: 0.700 0.700 0.967
I: 0.262 0.262 0.349
Ce: 0.000 0.000 0.335
Ce: 0.500 0.500 0.835
In: 0.000 0.000 0.004
In: 0.500 0.500 0.504
Cs: 0.500 0.500 0.172
Cs: 0.000 0.000 0.672


K5Na3 | PBE-GGA | optimized geometry

Values from the calculation:
Energy of formation from the pure elements, meV per atom: 21
Energy above the most stable polymorph in this dataset, eV per atom: 0.000
Magnetic moment, μB/atom: 0.0000

Cell lengths 7.596, 11.706, 11.706 Å; angles 83.96, 71.07, 71.07 degrees
Positions (direct):
K: 0.250 0.500 0.500
K: 0.750 0.500 0.500
K: 0.279 0.143 0.300
K: 0.221 0.700 0.857
K: 0.079 0.143 0.700
K: 0.421 0.300 0.857
K: 0.721 0.857 0.700
K: 0.921 0.857 0.300
K: 0.779 0.300 0.143
K: 0.579 0.700 0.143
Na: 0.332 0.836 0.500
Na: 0.168 0.500 0.164
Na: 0.668 0.164 0.500
Na: 0.750 0.000 0.000
Na: 0.250 0.000 0.000
Na: 0.832 0.500 0.836


NiTe2Ir | PBE-GGA | optimized geometry

Values from the calculation:
Energy above the most stable polymorph in this dataset, eV per atom: 0.587
Magnetic moment, μB/atom: 0.0000

Cell lengths 5.572, 5.572, 5.572 Å; angles 138.39, 138.39, 60.30 degrees
Positions (direct):
Ir: 0.500 0.500 0.000
Te: 0.000 0.000 0.000
Te: 0.250 0.750 0.500
Ni: 0.750 0.250 0.500


Which of these has the highest magnetic moment? PuCuAg